Entry 1:
# Pa4Ga2C GGA-PBE relaxed
data_Pa4Ga2C
_chemical_formula_sum 'Pa8 Ga4 C2'
_space_group_name_H-M_alt 'I 4/m m m'
_space_group_IT_number 139
_space_group_name_Hall '-I 4 2'
_cell_length_a 4.678
_cell_length_b 4.678
_cell_length_c 14.873
_cell_angle_alpha 90.00
_cell_angle_beta 90.00
_cell_angle_gamma 90.00
loop_
_atom_site_label
_atom_site_fract_x
_atom_site_fract_y
_atom_site_fract_z
Pa1 0.000 0.000 0.163
Pa2 0.000 0.500 0.000
Ga1 0.000 0.000 0.362
C1 0.000 0.000 0.000
# **Total magnetic moment**: 0.0 μB per cell
# **Volume**: 325.5 Å³/cell
# **Crystal system**: tetragonal
# **ΔE_f**: -90 meV/atom

Entry 2:
# NaSnRu2F GGA-PBE relaxed
data_NaSnRu2F
_chemical_formula_sum 'Na1 Sn1 Ru2 F1'
_space_group_name_H-M_alt 'P 4/m m m'
_space_group_IT_number 123
_space_group_name_Hall '-P 4 2'
_cell_length_a 4.322
_cell_length_b 4.322
_cell_length_c 4.884
_cell_angle_alpha 90.00
_cell_angle_beta 90.00
_cell_angle_gamma 90.00
loop_
_atom_site_label
_atom_site_fract_x
_atom_site_fract_y
_atom_site_fract_z
Na1 0.000 0.000 0.000
Sn1 0.500 0.500 0.000
Ru1 0.000 0.500 0.500
F1 0.500 0.500 0.500
# **Total magnetic moment**: 1.5 μB per cell
# **Formation energy without anion corrections**: 0.59 eV per atom
# **Volume**: 91.3 Å³/cell
# **Crystal system**: tetragonal

Entry 3:
# SbIr3F GGA-PBE relaxed
data_SbIr3F
_chemical_formula_sum 'Sb1 Ir3 F1'
_space_group_name_H-M_alt 'P m -3 m'
_space_group_IT_number 221
_space_group_name_Hall '-P 4 2 3'
_cell_length_a 4.363
_cell_length_b 4.363
_cell_length_c 4.363
_cell_angle_alpha 90.00
_cell_angle_beta 90.00
_cell_angle_gamma 90.00
loop_
_atom_site_label
_atom_site_fract_x
_atom_site_fract_y
_atom_site_fract_z
Sb1 0.000 0.000 0.000
Ir1 0.000 0.500 0.500
F1 0.500 0.500 0.500
# **Total magnetic moment**: 0.0 μB per cell
# **Formation energy without anion corrections**: 1.13 eV per atom
# **Volume**: 83.1 Å³/cell
# **Crystal system**: cubic
# **Energy relative to the lowest polymorph listed for this composition**: 0.000 eV/atom

Copy entry 2 word for word.
# NaSnRu2F GGA-PBE relaxed
data_NaSnRu2F
_chemical_formula_sum 'Na1 Sn1 Ru2 F1'
_space_group_name_H-M_alt 'P 4/m m m'
_space_group_IT_number 123
_space_group_name_Hall '-P 4 2'
_cell_length_a 4.322
_cell_length_b 4.322
_cell_length_c 4.884
_cell_angle_alpha 90.00
_cell_angle_beta 90.00
_cell_angle_gamma 90.00
loop_
_atom_site_label
_atom_site_fract_x
_atom_site_fract_y
_atom_site_fract_z
Na1 0.000 0.000 0.000
Sn1 0.500 0.500 0.000
Ru1 0.000 0.500 0.500
F1 0.500 0.500 0.500
# **Total magnetic moment**: 1.5 μB per cell
# **Formation energy without anion corrections**: 0.59 eV per atom
# **Volume**: 91.3 Å³/cell
# **Crystal system**: tetragonal

What did the third record say?
# SbIr3F GGA-PBE relaxed
data_SbIr3F
_chemical_formula_sum 'Sb1 Ir3 F1'
_space_group_name_H-M_alt 'P m -3 m'
_space_group_IT_number 221
_space_group_name_Hall '-P 4 2 3'
_cell_length_a 4.363
_cell_length_b 4.363
_cell_length_c 4.363
_cell_angle_alpha 90.00
_cell_angle_beta 90.00
_cell_angle_gamma 90.00
loop_
_atom_site_label
_atom_site_fract_x
_atom_site_fract_y
_atom_site_fract_z
Sb1 0.000 0.000 0.000
Ir1 0.000 0.500 0.500
F1 0.500 0.500 0.500
# **Total magnetic moment**: 0.0 μB per cell
# **Formation energy without anion corrections**: 1.13 eV per atom
# **Volume**: 83.1 Å³/cell
# **Crystal system**: cubic
# **Energy relative to the lowest polymorph listed for this composition**: 0.000 eV/atom

Question: What is the formula in the second record?
Answer: NaSnRu2F